(1)
Ge2RhPb PBE optimized geometry; formation energy from the elements = 0.08 eV/atom; uncorrected energy = -4.993 eV/atom; SG = No. 122
1.0
-2.140 -1.997 3.739
-3.412 -1.674 -2.847
1.556 -8.671 -0.727
Pb Ge Rh
2 4 2
Cartesian
0.000 0.000 0.000
-1.680 -6.252 1.729
-1.125 -3.392 1.362
-2.261 -3.697 -1.057
-1.313 -8.075 -0.543
-3.292 -9.520 0.568
-2.776 -1.835 0.446
-2.316 -6.090 -1.564

(2)
Pm4Dy5Sc2 PBE optimized geometry; formation energy from the elements = 0.04 eV/atom; energy above the most stable polymorph in this dataset = 0.000 eV per atom; uncorrected energy = -4.932 eV/atom; SG = No. 12
1.0
4.851 0.000 -1.183
-0.157 7.864 -0.643
-0.421 3.101 8.808
Pm Dy Sc
4 5 2
Cartesian
1.132 9.089 4.640
4.140 8.508 6.437
3.141 1.876 2.342
0.133 2.457 0.545
3.423 6.653 3.497
0.850 4.312 3.485
3.859 3.722 5.284
2.425 0.000 -0.592
0.414 7.242 1.698
1.573 6.108 6.446
2.700 4.856 0.536

(3)
RbPd2Se2 PBE optimized geometry; energy above the most stable polymorph in this dataset = 0.189 eV per atom; uncorrected energy = -3.975 eV/atom; SG = No. 109; formation energy from raw total energies = -0.311 eV/atom
1.0
6.017 0.000 0.000
0.000 6.017 0.000
-3.008 -3.008 7.797
Rb Pd Se
2 4 4
Cartesian
0.000 0.000 0.117
0.000 3.008 4.016
3.008 4.556 1.893
1.461 0.000 5.791
-1.461 0.000 5.791
3.008 1.461 1.893
0.000 1.460 7.254
1.549 0.000 3.356
4.468 0.000 3.356
0.000 -1.460 7.254

(4)
ReTe2Mo PBE optimized geometry; energy above the most stable polymorph in this dataset = 0.811 eV per atom; uncorrected energy = -6.375 eV/atom; SG = No. 122; formation energy from raw total energies = 1.016 eV/atom
1.0
6.079 0.000 0.000
0.000 6.079 0.000
3.040 3.040 5.998
Re Mo Te
2 2 4
Cartesian
0.000 0.000 0.000
6.079 3.040 2.999
3.040 3.040 0.000
3.040 6.079 2.999
4.638 1.520 1.500
1.441 4.559 1.500
4.559 4.481 4.499
7.599 7.678 4.499

(5)
BeFeRe2 PBE optimized geometry; formation energy from the elements = 0.15 eV/atom; uncorrected energy = -9.116 eV/atom; SG = No. 166
1.0
-0.472 8.148 -1.812
-3.036 7.461 -2.238
-2.201 8.061 0.245
Re Fe Be
2 1 1
Cartesian
-5.702 23.645 -3.801
-2.860 11.860 -1.906
-4.281 17.753 -2.854
-1.427 5.918 -0.951

(6)
KTeAu2 PBE optimized geometry; uncorrected energy = -2.823 eV/atom; SG = No. 44; formation energy from raw total energies = -0.124 eV/atom
1.0
6.260 0.013 -0.009
2.302 5.822 0.009
-3.474 -4.102 3.209
Au K Te
2 1 1
Cartesian
0.003 0.002 0.000
4.097 -0.203 1.600
4.241 2.889 0.000
1.029 1.960 1.609

Q: Among the records above, which one has the highest uncorrected energy?
A: KTeAu2

Q: uncorrected energy of number 1 (Ge2RhPb)?
A: -4.993 eV/atom